VASP calculation (PBE-GGA) on an optimized crystal structure of ZnReI2N.

total DFT energy (no corrections) = -3.339 eV per atom
ΔE_f (raw) = 8.45 eV/f.u.
energy relative to the lowest polymorph listed for this composition = 1.235 eV/atom
calculated volume = 120.7 Å³/cell
SG = P4/mmm

Structure (CIF):
```
data_ZnReI2N
_chemical_formula_sum 'Zn1 Re1 I2 N1'
_space_group_name_H-M_alt 'P 1'
_space_group_IT_number 1
_cell_length_a 5.767
_cell_length_b 5.767
_cell_length_c 3.628
_cell_angle_alpha 90.00
_cell_angle_beta 90.00
_cell_angle_gamma 90.00
loop_
_space_group_symop_operation_xyz
'x,y,z'
loop_
_atom_site_label
_atom_site_fract_x
_atom_site_fract_y
_atom_site_fract_z
_atom_site_occupancy
Zn1 0.000 0.000 0.000 1
Re1 0.500 0.500 0.500 1
N1 0.000 0.000 0.500 1
I1 0.500 0.000 0.000 1
I2 0.000 0.500 0.000 1
```